Entry from the Alexandria database: Zn4IrRu after structural relaxation (GGA-PBE).

abc: 4.8829 4.8829 4.8829
angles: 60.00 60.00 60.00
Closest atoms and distances in Å follow each position.
Atoms (fractional coordinates):
1 Zn 0.8753 0.3749 0.3749  6 Zn 2.44
2 Zn 0.3749 0.3749 0.8753  6 Zn 2.44
3 Zn 0.3749 0.8753 0.3749  6 Zn 2.44
4 Zn 0.3749 0.3749 0.3749  6 Zn 2.44
5 Ir 0.7500 0.7500 0.7500  12 Zn 2.86, 4 Ru 2.99
6 Ru 0.0000 0.0000 0.0000  12 Zn 2.86, 4 Ir 2.99

- space group = F-43m
- crystal system = cubic

---

Entry from the Alexandria database: GeHN2 after structural relaxation (GGA-PBE).

abc: 4.8346 4.8346 4.8346
angles: 36.77 36.77 36.77
Closest atoms and distances in Å follow each position.
Atoms (fractional coordinates):
1 H 0.0000 0.0000 0.0000  2 N 1.26
2 Ge 0.5000 0.5000 0.5000  6 N 2.02
3 N 0.9065 0.9065 0.9065  1 H 1.26
4 N 0.0935 0.0935 0.0935  1 H 1.26

- space group = R-3m
- crystal system = trigonal
- polymorph energy (0 for the lowest one) (meV/atom) = 0.0

---

Entry from the Alexandria database: LiSbS3 after structural relaxation (GGA-PBE).

abc: 3.6623 7.4333 17.9304
angles: 90.00 90.00 90.00
Closest atoms and distances in Å follow each position.
Atoms (fractional coordinates):
1 Li 0.2500 0.9862 0.2479  5 S 2.59-2.69
2 Li 0.7500 0.0138 0.7521  5 S 2.59-2.69
3 Li 0.7500 0.5138 0.7479  5 S 2.59-2.69
4 Li 0.2500 0.4862 0.2521  5 S 2.59-2.69
5 Sb 0.2500 0.6870 0.5985  3 S 2.39-2.51
6 Sb 0.7500 0.3130 0.4015  3 S 2.39-2.51
7 Sb 0.7500 0.8130 0.0985  3 S 2.39-2.51
8 Sb 0.2500 0.1870 0.9015  3 S 2.39-2.51
9 S 0.7500 0.2254 0.2730  1 Sb 2.39, 2 Li 2.59
10 S 0.2500 0.5870 0.0109  2 S 2.28
11 S 0.2500 0.0435 0.1034  2 Sb 2.51, 1 Li 2.63
12 S 0.2500 0.5435 0.3966  2 Sb 2.51, 1 Li 2.63
13 S 0.2500 0.0870 0.4891  2 S 2.28
14 S 0.7500 0.4565 0.6034  2 Sb 2.51, 1 Li 2.63
15 S 0.2500 0.2746 0.7730  1 Sb 2.39, 2 Li 2.59
16 S 0.7500 0.9565 0.8966  2 Sb 2.51, 1 Li 2.63
17 S 0.7500 0.4130 0.9891  2 S 2.28
18 S 0.7500 0.7254 0.2270  1 Sb 2.39, 2 Li 2.59
19 S 0.7500 0.9130 0.5109  2 S 2.28
20 S 0.2500 0.7746 0.7270  1 Sb 2.39, 2 Li 2.59

- space group = Pnma
- crystal system = orthorhombic
- polymorph energy (0 for the lowest one) (meV/atom) = 0.0
- uncorrected formation energy (eV/atom) = -0.41

---

Entry from the Alexandria database: Ca3Tl3Pt2 after structural relaxation (GGA-PBE).

abc: 5.8504 8.0403 17.5588
angles: 90.00 90.00 90.00
Closest atoms and distances in Å follow each position.
Atoms (fractional coordinates):
1 Ca 0.1087 0.4603 0.3908  3 Pt 3.10-3.21, 6 Tl 3.24-3.44
2 Ca 0.6087 0.0397 0.6092  3 Pt 3.10-3.21, 6 Tl 3.24-3.44
3 Ca 0.8913 0.5397 0.8908  3 Pt 3.10-3.21, 6 Tl 3.24-3.44
4 Ca 0.3913 0.9603 0.1092  3 Pt 3.10-3.21, 6 Tl 3.24-3.44
5 Ca 0.8913 0.5397 0.6092  3 Pt 3.10-3.21, 6 Tl 3.24-3.44
6 Ca 0.3913 0.9603 0.3908  3 Pt 3.10-3.21, 6 Tl 3.24-3.44
7 Ca 0.1087 0.4603 0.1092  3 Pt 3.10-3.21, 6 Tl 3.24-3.44
8 Ca 0.6087 0.0397 0.8908  3 Pt 3.10-3.21, 6 Tl 3.24-3.44
9 Ca 0.6667 0.3387 0.2500  4 Pt 3.13-3.21, 3 Tl 3.19-3.32
10 Ca 0.1667 0.1613 0.7500  4 Pt 3.13-3.21, 3 Tl 3.19-3.32
11 Ca 0.3333 0.6613 0.7500  4 Pt 3.13-3.21, 3 Tl 3.19-3.32
12 Ca 0.8333 0.8387 0.2500  4 Pt 3.13-3.21, 3 Tl 3.19-3.32
13 Tl 0.1756 0.1674 0.2500  2 Pt 2.80
14 Tl 0.6756 0.3326 0.7500  2 Pt 2.80
15 Tl 0.8244 0.8326 0.7500  2 Pt 2.80
16 Tl 0.3244 0.6674 0.2500  2 Pt 2.80
17 Tl 0.6068 0.3139 0.4639  3 Pt 2.81-3.11
18 Tl 0.1068 0.1861 0.5361  3 Pt 2.81-3.11
19 Tl 0.3932 0.6861 0.9639  3 Pt 2.81-3.11
20 Tl 0.8932 0.8139 0.0361  3 Pt 2.81-3.11
21 Tl 0.3932 0.6861 0.5361  3 Pt 2.81-3.11
22 Tl 0.8932 0.8139 0.4639  3 Pt 2.81-3.11
23 Tl 0.6068 0.3139 0.0361  3 Pt 2.81-3.11
24 Tl 0.1068 0.1861 0.9639  3 Pt 2.81-3.11
25 Pt 0.8994 0.1073 0.3773  4 Tl 2.80-3.11, 3 Ca 3.10-3.13
26 Pt 0.3994 0.3927 0.6227  4 Tl 2.80-3.11, 3 Ca 3.10-3.13
27 Pt 0.1006 0.8927 0.8773  4 Tl 2.80-3.11, 3 Ca 3.10-3.13
28 Pt 0.6006 0.6073 0.1227  4 Tl 2.80-3.11, 3 Ca 3.10-3.13
29 Pt 0.1006 0.8927 0.6227  4 Tl 2.80-3.11, 3 Ca 3.10-3.13
30 Pt 0.6006 0.6073 0.3773  4 Tl 2.80-3.11, 3 Ca 3.10-3.13
31 Pt 0.8994 0.1073 0.1227  4 Tl 2.80-3.11, 3 Ca 3.10-3.13
32 Pt 0.3994 0.3927 0.8773  4 Tl 2.80-3.11, 3 Ca 3.10-3.13

- space group = Pnma
- crystal system = orthorhombic

---

Entry from the Alexandria database: GeSb2Se4 after structural relaxation (GGA-PBE).

abc: 4.0502 4.0502 13.7104
angles: 81.51 81.51 60.00
Closest atoms and distances in Å follow each position.
Atoms (fractional coordinates):
1 Sb 0.4205 0.4205 0.7386  6 Se 2.81-3.02
2 Sb 0.5795 0.5795 0.2614  6 Se 2.81-3.02
3 Ge 0.0000 0.0000 0.0000  6 Se 2.84
4 Se 0.1255 0.1255 0.6234  3 Sb 2.81
5 Se 0.2935 0.2935 0.1195  3 Ge 2.84, 3 Sb 3.02
6 Se 0.7065 0.7065 0.8805  3 Ge 2.84, 3 Sb 3.02
7 Se 0.8745 0.8745 0.3766  3 Sb 2.81

- space group = R-3m
- crystal system = trigonal
- polymorph energy (0 for the lowest one) (meV/atom) = 0.0
- uncorrected formation energy (eV/atom) = -0.25

---

Entry from the Alexandria database: MnNi6H after structural relaxation (GGA-PBE).

abc: 4.9020 4.9020 5.0891
angles: 61.21 61.21 60.00
Closest atoms and distances in Å follow each position.
Atoms (fractional coordinates):
1 Mn 0.5000 0.5000 0.5000  12 Ni 2.71
2 Ni 0.9025 0.9025 0.7710  1 H 1.77
3 Ni 0.4240 0.9025 0.7710  1 H 1.77
4 Ni 0.0975 0.5760 0.2290  1 H 1.77
5 Ni 0.5760 0.0975 0.2290  1 H 1.77
6 Ni 0.0975 0.0975 0.2290  1 H 1.77
7 Ni 0.9025 0.4240 0.7710  1 H 1.77
8 H 0.0000 0.0000 0.0000  6 Ni 1.77

- space group = R-3m
- crystal system = trigonal

---

Entry from the Alexandria database: CrMo2Au after structural relaxation (GGA-PBE).

abc: 9.1190 9.1190 9.1190
angles: 17.85 17.85 17.85
Closest atoms and distances in Å follow each position.
Atoms (fractional coordinates):
1 Au 0.2500 0.2500 0.2500  6 Au 2.83, 6 Mo 2.97
2 Cr 0.7500 0.7500 0.7500  6 Mo 2.59, 6 Cr 2.83
3 Mo 0.0087 0.0087 0.0087  3 Cr 2.59, 6 Mo 2.83
4 Mo 0.4913 0.4913 0.4913  3 Cr 2.59, 6 Mo 2.83

- space group = R-3m
- crystal system = trigonal
- polymorph energy (0 for the lowest one) (meV/atom) = 191.5

---

Entry from the Alexandria database: HgGe2I2 after structural relaxation (GGA-PBE).

abc: 7.9812 7.9812 4.9563
angles: 90.00 90.00 90.00
Closest atoms and distances in Å follow each position.
Atoms (fractional coordinates):
1 I 0.1718 0.6718 0.5000  2 Ge 2.91
2 I 0.6718 0.8282 0.5000  2 Ge 2.91
3 I 0.8282 0.3282 0.5000  2 Ge 2.91
4 I 0.3282 0.1718 0.5000  2 Ge 2.91
5 Ge 0.3062 0.8062 0.0000  2 Hg 2.89, 2 I 2.91
6 Ge 0.8062 0.6938 0.0000  2 Hg 2.89, 2 I 2.91
7 Ge 0.6938 0.1938 0.0000  2 Hg 2.89, 2 I 2.91
8 Ge 0.1938 0.3062 0.0000  2 Hg 2.89, 2 I 2.91
9 Hg 0.0000 0.0000 0.0000  4 Ge 2.89
10 Hg 0.5000 0.5000 0.0000  4 Ge 2.89

- space group = P4/mbm
- crystal system = tetragonal
- polymorph energy (0 for the lowest one) (meV/atom) = 42.5
- uncorrected formation energy (eV/atom) = 0.15

---

Entry from the Alexandria database: AcNdPu2O8 after structural relaxation (GGA-PBE).

abc: 6.5758 6.5758 6.5758
angles: 108.82 108.82 110.79
Closest atoms and distances in Å follow each position.
Atoms (fractional coordinates):
1 Ac 0.0000 0.0000 0.0000  8 O 2.52-2.69
2 Nd 0.2500 0.7500 0.5000  8 O 2.45-2.59
3 Pu 0.7500 0.2500 0.5000  4 O 2.02
4 Pu 0.5000 0.5000 0.0000  4 O 2.02
5 O 0.3734 0.0475 0.3259  1 Pu 2.02
6 O 0.3061 0.4903 0.1842  1 Pu 2.02
7 O 0.3061 0.1219 0.8158  1 Pu 2.02
8 O 0.7216 0.0475 0.6741  1 Pu 2.02
9 O 0.8781 0.6939 0.1842  1 Pu 2.02
10 O 0.9525 0.2784 0.3259  1 Pu 2.02
11 O 0.9525 0.6266 0.6741  1 Pu 2.02
12 O 0.5097 0.6939 0.8158  1 Pu 2.02

- space group = I-4m2
- crystal system = tetragonal
- uncorrected formation energy (eV/atom) = -2.79

---

Entry from the Alexandria database: YHo2Au4 after structural relaxation (GGA-PBE).

abc: 6.0932 6.0932 6.0932
angles: 109.81 109.30 109.30
Closest atoms and distances in Å follow each position.
Atoms (fractional coordinates):
1 Y 0.0000 0.0000 0.0000  8 Au 3.05
2 Ho 0.5000 0.5000 0.0000  8 Au 3.05
3 Ho 0.5000 0.0000 0.5000  8 Au 3.05
4 Au 0.5000 0.0000 0.0000  4 Ho 3.05, 2 Y 3.05
5 Au 0.5000 0.5000 0.5000  2 Y 3.05, 4 Ho 3.05
6 Au 0.0000 0.0000 0.5000  4 Ho 3.05, 2 Y 3.05
7 Au 0.0000 0.5000 0.0000  4 Ho 3.05, 2 Y 3.05

- space group = I4/mmm
- crystal system = tetragonal

---

Entry from the Alexandria database: AcCd4Pd4 after structural relaxation (GGA-PBE).

abc: 5.0296 9.1678 9.1678
angles: 90.00 90.00 90.00
Closest atoms and distances in Å follow each position.
Atoms (fractional coordinates):
1 Ac 0.0000 0.0000 0.0000  4 Pd 2.99
2 Ac 0.5000 0.5000 0.5000  4 Pd 2.99
3 Cd 0.4987 0.3646 0.9181  4 Pd 2.66-2.78, 1 Cd 2.90
4 Cd 0.9987 0.5819 0.8646  4 Pd 2.66-2.78, 1 Cd 2.90
5 Cd 0.4987 0.6354 0.0819  4 Pd 2.66-2.78, 1 Cd 2.90
6 Cd 0.0013 0.1354 0.5819  4 Pd 2.66-2.78, 1 Cd 2.90
7 Cd 0.5013 0.9181 0.6354  4 Pd 2.66-2.78, 1 Cd 2.90
8 Cd 0.0013 0.8646 0.4181  4 Pd 2.66-2.78, 1 Cd 2.90
9 Cd 0.9987 0.4181 0.1354  4 Pd 2.66-2.78, 1 Cd 2.90
10 Cd 0.5013 0.0819 0.3646  4 Pd 2.66-2.78, 1 Cd 2.90
11 Pd 0.5011 0.7806 0.3334  4 Cd 2.66-2.78
12 Pd 0.5011 0.2194 0.6666  4 Cd 2.66-2.78
13 Pd 0.0011 0.8334 0.7194  4 Cd 2.66-2.78
14 Pd 0.9989 0.2806 0.8334  4 Cd 2.66-2.78
15 Pd 0.9989 0.7194 0.1666  4 Cd 2.66-2.78
16 Pd 0.4989 0.3334 0.2194  4 Cd 2.66-2.78
17 Pd 0.4989 0.6666 0.7806  4 Cd 2.66-2.78
18 Pd 0.0011 0.1666 0.2806  4 Cd 2.66-2.78

- space group = P4_2/n
- crystal system = tetragonal

---

Entry from the Alexandria database: USiHO6 after structural relaxation (GGA-PBE).

abc: 5.1279 5.1279 8.5094
angles: 90.00 90.00 120.00
Closest atoms and distances in Å follow each position.
Atoms (fractional coordinates):
1 U 0.3333 0.6667 0.2500  6 O 2.08
2 U 0.6667 0.3333 0.7500  6 O 2.08
3 Si 0.6667 0.3333 0.2500  6 O 1.80
4 Si 0.3333 0.6667 0.7500  6 O 1.80
5 H 0.0000 0.0000 0.0000  6 O 2.14
6 H 0.0000 0.0000 0.5000  6 O 2.14
7 O 0.6683 0.6266 0.1332  1 Si 1.80
8 O 0.9583 0.3317 0.1332  1 Si 1.80
9 O 0.3317 0.9583 0.6332  1 Si 1.80
10 O 0.0417 0.6683 0.8668  1 Si 1.80
11 O 0.3734 0.3317 0.3668  1 Si 1.80
12 O 0.9583 0.6266 0.3668  1 Si 1.80
13 O 0.6266 0.9583 0.8668  1 Si 1.80
14 O 0.6683 0.0417 0.3668  1 Si 1.80
15 O 0.0417 0.3734 0.6332  1 Si 1.80
16 O 0.3734 0.0417 0.1332  1 Si 1.80
17 O 0.6266 0.6683 0.6332  1 Si 1.80
18 O 0.3317 0.3734 0.8668  1 Si 1.80

- space group = P-31c
- crystal system = trigonal

---

| no. | E_tot (eV/atom) | magnetization (μB/atom) |
| --- | --- | --- |
| 1 | -3.7933 | 0.074 |
| 2 | -5.6999 | 0.234 |
| 3 | -4.0922 | 0.000 |
| 4 | -3.7058 | 0.000 |
| 5 | -4.0824 | 0.000 |
| 6 | -5.6947 | 0.908 |
| 7 | -8.2364 | 0.000 |
| 8 | -2.3789 | 0.000 |
| 9 | -9.2257 | 0.500 |
| 10 | -4.7796 | 0.000 |
| 11 | -3.4764 | 0.000 |
| 12 | -7.2252 | 0.000 |